# LiCrB3 | Alexandria via LeMat-Bulk | PBE-GGA | relaxed
data_LiCrB3
_chemical_formula_sum 'Li1 Cr1 B3'
_symmetry_space_group_name_H-M 'P m -3 m'
_symmetry_Int_Tables_number 221
_symmetry_space_group_name_Hall '-P 4 2 3'
_cell_length_a 3.877
_cell_length_b 3.877
_cell_length_c 3.877
_cell_angle_alpha 90.00
_cell_angle_beta 90.00
_cell_angle_gamma 90.00
loop_
_atom_site_label
_atom_site_type_symbol
_atom_site_fract_x
_atom_site_fract_y
_atom_site_fract_z
Li1 Li 0.000 0.000 0.000
Cr1 Cr 0.500 0.500 0.500
B1 B 0.000 0.500 0.500
# relative energy among the computed polymorphs = 0 meV per atom
# V = 11.65 Å³/atom

---

# Ac3B2O8 | Alexandria via LeMat-Bulk | PBE-GGA | relaxed
data_Ac3B2O8
_chemical_formula_sum 'Ac9 B6 O24'
_symmetry_space_group_name_H-M 'R -3 m'
_symmetry_Int_Tables_number 166
_symmetry_space_group_name_Hall '-R 3 2"'
_cell_length_a 5.3017
_cell_length_b 5.3017
_cell_length_c 20.1789
_cell_angle_alpha 90.00
_cell_angle_beta 90.00
_cell_angle_gamma 120.00
loop_
_atom_site_label
_atom_site_type_symbol
_atom_site_fract_x
_atom_site_fract_y
_atom_site_fract_z
Ac1 Ac 0.0000 0.0000 0.0000
Ac2 Ac 0.0000 0.0000 0.2131
B1 B 0.0000 0.0000 0.4098
O1 O 0.0000 0.0000 0.3351
O2 O 0.0246 0.5123 0.2338
# raw formation energy = -2.8998 eV per atom
# V = 12.59 Å³/atom

---

# CsSiMoN | Alexandria via LeMat-Bulk | PBE-GGA | relaxed
data_CsSiMoN
_chemical_formula_sum 'Cs2 Si2 Mo2 N2'
_symmetry_space_group_name_H-M 'C 1 m 1'
_symmetry_Int_Tables_number 8
_cell_length_a 12.957
_cell_length_b 3.078
_cell_length_c 5.008
_cell_angle_alpha 90.00
_cell_angle_beta 95.86
_cell_angle_gamma 90.00
loop_
_symmetry_equiv_pos_as_xyz
'x,y,z'
'x,-y,z'
'x+1/2,y+1/2,z'
'x+1/2,-y+1/2,z'
loop_
_atom_site_label
_atom_site_type_symbol
_atom_site_fract_x
_atom_site_fract_y
_atom_site_fract_z
Cs1 Cs 0.000 0.000 0.000
Si1 Si 0.253 0.000 0.724
Mo1 Mo 0.256 0.500 0.343
N1 N 0.259 0.000 0.070
# relative energy among the computed polymorphs = 103 meV per atom
# raw formation energy = 0.1829 eV per atom
# V = 24.83 Å³/atom

---

# LiThMg2 | Alexandria via LeMat-Bulk | PBE-GGA | relaxed
data_LiThMg2
_chemical_formula_sum 'Li1 Th1 Mg2'
_symmetry_space_group_name_H-M 'P 4/m m m'
_symmetry_Int_Tables_number 123
_symmetry_space_group_name_Hall '-P 4 2'
_cell_length_a 5.594
_cell_length_b 5.594
_cell_length_c 3.415
_cell_angle_alpha 90.00
_cell_angle_beta 90.00
_cell_angle_gamma 90.00
loop_
_atom_site_label
_atom_site_type_symbol
_atom_site_fract_x
_atom_site_fract_y
_atom_site_fract_z
Li1 Li 0.000 0.000 0.000
Th1 Th 0.500 0.500 0.000
Mg1 Mg 0.000 0.500 0.500
# relative energy among the computed polymorphs = 142 meV per atom
# V = 26.72 Å³/atom

---

# TbB2Ir | Alexandria via LeMat-Bulk | PBE-GGA | relaxed
data_TbB2Ir
_chemical_formula_sum 'Tb3 B6 Ir3'
_symmetry_space_group_name_H-M 'R -3 m'
_symmetry_Int_Tables_number 166
_symmetry_space_group_name_Hall '-R 3 2"'
_cell_length_a 3.6891
_cell_length_b 3.6891
_cell_length_c 13.9940
_cell_angle_alpha 90.00
_cell_angle_beta 90.00
_cell_angle_gamma 120.00
loop_
_atom_site_label
_atom_site_type_symbol
_atom_site_fract_x
_atom_site_fract_y
_atom_site_fract_z
Tb1 Tb 0.0000 0.0000 0.0000
B1 B 0.0000 0.0000 0.2041
Ir1 Ir 0.0000 0.0000 0.5000
# DFT total energy = -7.1494 eV/atom
# V = 13.74 Å³/atom

---

# Ba3LiSb | Alexandria via LeMat-Bulk | PBE-GGA | relaxed
data_Ba3LiSb
_chemical_formula_sum 'Ba3 Li1 Sb1'
_symmetry_space_group_name_H-M 'P m -3 m'
_symmetry_Int_Tables_number 221
_symmetry_space_group_name_Hall '-P 4 2 3'
_cell_length_a 6.750
_cell_length_b 6.750
_cell_length_c 6.750
_cell_angle_alpha 90.00
_cell_angle_beta 90.00
_cell_angle_gamma 90.00
loop_
_atom_site_label
_atom_site_type_symbol
_atom_site_fract_x
_atom_site_fract_y
_atom_site_fract_z
Ba1 Ba 0.000 0.000 0.500
Li1 Li 0.500 0.500 0.500
Sb1 Sb 0.000 0.000 0.000
# relative energy among the computed polymorphs = 0 meV per atom
# raw formation energy = -0.3080 eV per atom
# V = 61.51 Å³/atom

---

# Sm6Dy2Ho3Pu | Alexandria via LeMat-Bulk | PBE-GGA | relaxed
data_Sm6Dy2Ho3Pu
_chemical_formula_sum 'Sm12 Dy4 Ho6 Pu2'
_symmetry_space_group_name_H-M 'C 1 2/m 1'
_symmetry_Int_Tables_number 12
_cell_length_a 6.194
_cell_length_b 10.734
_cell_length_c 11.763
_cell_angle_alpha 90.00
_cell_angle_beta 100.15
_cell_angle_gamma 90.00
loop_
_symmetry_equiv_pos_as_xyz
'x,y,z'
'-x,-y,-z'
'-x,y,-z'
'x,-y,z'
'x+1/2,y+1/2,z'
'-x+1/2,-y+1/2,-z'
'-x+1/2,y+1/2,-z'
'x+1/2,-y+1/2,z'
loop_
_atom_site_label
_atom_site_type_symbol
_atom_site_fract_x
_atom_site_fract_y
_atom_site_fract_z
Sm1 Sm 0.247 0.000 0.251
Sm2 Sm 0.248 0.165 0.749
Dy1 Dy 0.000 0.333 0.500
Ho1 Ho 0.000 0.167 0.000
Ho2 Ho 0.000 0.500 0.000
Pu1 Pu 0.000 0.000 0.500
# DFT total energy = -5.4202 eV/atom
# V = 32.07 Å³/atom

---

# ZrTlBr | Alexandria via LeMat-Bulk | PBE-GGA | relaxed
data_ZrTlBr
_chemical_formula_sum 'Zr1 Tl1 Br1'
_symmetry_space_group_name_H-M 'P -6 m 2'
_symmetry_Int_Tables_number 187
_symmetry_space_group_name_Hall 'P -6 2'
_cell_length_a 4.9034
_cell_length_b 4.9034
_cell_length_c 3.4851
_cell_angle_alpha 90.00
_cell_angle_beta 90.00
_cell_angle_gamma 120.00
loop_
_atom_site_label
_atom_site_type_symbol
_atom_site_fract_x
_atom_site_fract_y
_atom_site_fract_z
Zr1 Zr 0.0000 0.0000 0.0000
Tl1 Tl 0.3333 0.6667 0.5000
Br1 Br 0.6667 0.3333 0.0000
# relative energy among the computed polymorphs = 360 meV per atom
# raw formation energy = -0.1089 eV per atom
# V = 24.19 Å³/atom

---

# AcAgTe2 | Alexandria via LeMat-Bulk | PBE-GGA | relaxed
data_AcAgTe2
_chemical_formula_sum 'Ac3 Ag3 Te6'
_symmetry_space_group_name_H-M 'R 3 m'
_symmetry_Int_Tables_number 160
_symmetry_space_group_name_Hall 'R 3 -2"'
_cell_length_a 4.5634
_cell_length_b 4.5634
_cell_length_c 22.1977
_cell_angle_alpha 90.00
_cell_angle_beta 90.00
_cell_angle_gamma 120.00
loop_
_atom_site_label
_atom_site_type_symbol
_atom_site_fract_x
_atom_site_fract_y
_atom_site_fract_z
Ac1 Ac 0.0000 0.0000 0.0000
Ag1 Ag 0.0000 0.0000 0.8266
Te1 Te 0.0000 0.0000 0.2413
Te2 Te 0.0000 0.0000 0.4277
# relative energy among the computed polymorphs = 194 meV per atom
# raw formation energy = -0.8669 eV per atom
# V = 33.36 Å³/atom

---

# Pr2ThAu3 | Alexandria via LeMat-Bulk | PBE-GGA | relaxed
data_Pr2ThAu3
_chemical_formula_sum 'Pr4 Th2 Au6'
_symmetry_space_group_name_H-M 'P m m n'
_symmetry_Int_Tables_number 59
_cell_length_a 5.304
_cell_length_b 15.939
_cell_length_c 3.696
_cell_angle_alpha 90.00
_cell_angle_beta 90.00
_cell_angle_gamma 90.00
loop_
_symmetry_equiv_pos_as_xyz
'x,y,z'
'-x,-y,-z'
'-x+1/2,-y+1/2,z'
'x+1/2,y+1/2,-z'
'x+1/2,-y,-z'
'-x+1/2,y,z'
'-x,y+1/2,-z'
'x,-y+1/2,z'
loop_
_atom_site_label
_atom_site_type_symbol
_atom_site_fract_x
_atom_site_fract_y
_atom_site_fract_z
Pr1 Pr 0.250 0.081 0.001
Th1 Th 0.250 0.750 0.999
Au1 Au 0.250 0.250 0.501
Au2 Au 0.250 0.589 0.500
# DFT total energy = -5.1484 eV/atom
# V = 26.04 Å³/atom

---

# Cd2CoMo | Alexandria via LeMat-Bulk | PBE-GGA | relaxed
data_Cd2CoMo
_chemical_formula_sum 'Cd4 Co2 Mo2'
_symmetry_space_group_name_H-M 'C 1 m 1'
_symmetry_Int_Tables_number 8
_cell_length_a 8.855
_cell_length_b 2.821
_cell_length_c 5.488
_cell_angle_alpha 90.00
_cell_angle_beta 98.22
_cell_angle_gamma 90.00
loop_
_symmetry_equiv_pos_as_xyz
'x,y,z'
'x,-y,z'
'x+1/2,y+1/2,z'
'x+1/2,-y+1/2,z'
loop_
_atom_site_label
_atom_site_type_symbol
_atom_site_fract_x
_atom_site_fract_y
_atom_site_fract_z
Cd1 Cd 0.000 0.000 0.000
Cd2 Cd 0.240 0.000 0.736
Co1 Co 0.499 0.000 0.439
Mo1 Mo 0.256 0.500 0.284
# relative energy among the computed polymorphs = 255 meV per atom
# V = 16.96 Å³/atom

---

# LaTbPrCd | Alexandria via LeMat-Bulk | PBE-GGA | relaxed
data_LaTbPrCd
_chemical_formula_sum 'La4 Tb4 Pr4 Cd4'
_symmetry_space_group_name_H-M 'F -4 3 m'
_symmetry_Int_Tables_number 216
_symmetry_space_group_name_Hall 'F -4 2 3'
_cell_length_a 7.961
_cell_length_b 7.961
_cell_length_c 7.961
_cell_angle_alpha 90.00
_cell_angle_beta 90.00
_cell_angle_gamma 90.00
loop_
_atom_site_label
_atom_site_type_symbol
_atom_site_fract_x
_atom_site_fract_y
_atom_site_fract_z
La1 La 0.000 0.000 0.000
Tb1 Tb 0.250 0.250 0.750
Pr1 Pr 0.000 0.000 0.500
Cd1 Cd 0.250 0.250 0.250
# relative energy among the computed polymorphs = 103 meV per atom
# V = 31.54 Å³/atom